Record 1
Entry from Alexandria: an optimized crystal structure of TiInCuS4 (PBE-GGA).

- VASP energy: -5.2451 eV/atom
- Total magnetic moment: 0.000 μB/atom

Cell: 7.1138 7.3745 10.5576 Å, 90.00 90.00 90.00°
Space group Imma (No. 74)
Unique sites:
Ti1 0.2500 0.2500 0.2500
In1 0.0000 0.0000 0.0000
Cu1 0.0000 0.2500 0.6257
S1 0.0000 0.0178 0.2569
S2 0.2474 0.2500 0.4848

---

Record 2
Entry from Alexandria: an optimized crystal structure of SmTm3Mg (PBE-GGA).

- Energy above the lowest structure with this stoichiometry: 0.000 eV/atom
- VASP energy: -3.9576 eV/atom
- Total magnetic moment: 0.000 μB/atom
- E_form: -12 meV per atom

Cell: 3.5885 6.6158 12.9759 Å, 86.65 89.98 74.27°
Space group P-1 (No. 2)
Unique sites:
Sm1 0.2354 0.0279 0.2684
Tm1 0.0331 0.4340 0.6867
Tm2 0.1527 0.1950 0.9324
Tm3 0.3674 0.7656 0.5198
Mg1 0.4379 0.6251 0.8803

---

Record 3
Entry from Alexandria: an optimized crystal structure of TbNd12Er7 (PBE-GGA).

- Energy above the lowest structure with this stoichiometry: 0.000 eV/atom
- VASP energy: -4.5394 eV/atom
- Total magnetic moment: 0.000 μB/atom
- E_form: 150 meV per atom

Cell: 15.2357 15.2357 10.1162 Å, 90.00 90.00 120.00°
Space group R-3 (No. 148, hexagonal axes)
Unique sites:
Tb1 0.0000 0.0000 0.0000
Nd1 0.0435 0.1985 0.2523
Nd2 0.0454 0.2494 0.5761
Er1 0.0000 0.0000 0.5000
Er2 0.0668 0.2445 0.9260

---

Record 4
Entry from Alexandria: an optimized crystal structure of BaPdSe3 (PBE-GGA).

- Energy above the lowest structure with this stoichiometry: 0.000 eV/atom
- VASP energy: -4.2964 eV/atom
- Total magnetic moment: 0.000 μB/atom

Cell: 5.0886 5.0886 5.0886 Å, 90.00 90.00 90.00°
Space group Pm-3m (No. 221)
Unique sites:
Ba1 0.0000 0.0000 0.0000
Pd1 0.5000 0.5000 0.5000
Se1 0.0000 0.5000 0.5000

---

Record 5
Entry from Alexandria: an optimized crystal structure of Sr2As2O7 (PBE-GGA).

- VASP energy: -6.3851 eV/atom
- Total magnetic moment: 0.005 μB/atom

Cell: 7.2532 7.2532 26.2123 Å, 90.00 90.00 90.00°
Space group P4_1 (No. 76)
Unique sites:
Sr1 0.0333 0.6531 0.0000
Sr2 0.1449 0.6071 0.3564
Sr3 0.2360 0.2805 0.1040
Sr4 0.2530 0.3669 0.7403
As1 0.1141 0.1843 0.9679
As2 0.1488 0.7746 0.1213
As3 0.2262 0.5310 0.2245
As4 0.2423 0.6378 0.6156
O1 0.0003 0.0045 0.2420
O2 0.0451 0.2820 0.3918
O3 0.0457 0.6557 0.4484
O4 0.0497 0.1671 0.5917
O5 0.0588 0.5071 0.2692
O6 0.0801 0.6403 0.1762
O7 0.0816 0.6071 0.5691
O8 0.1041 0.7708 0.6602
O9 0.2243 0.4142 0.8421
O10 0.2739 0.2910 0.0054
O11 0.2809 0.6317 0.0843
O12 0.3036 0.3325 0.1980
O13 0.3209 0.3932 0.4942
O14 0.3236 0.4514 0.6473

---

Record 6
Entry from Alexandria: an optimized crystal structure of KFe4Se (PBE-GGA).

- VASP energy: -5.7136 eV/atom
- Total magnetic moment: 1.973 μB/atom

Cell: 7.4060 7.4060 7.4060 Å, 90.00 90.00 90.00°
Space group F-43m (No. 216)
Unique sites:
K1 0.0000 0.0000 0.0000
Fe1 0.1290 0.1290 0.3710
Se1 0.2500 0.2500 0.7500

---

Record 7
Entry from Alexandria: an optimized crystal structure of KNi2Ru (PBE-GGA).

- Energy above the lowest structure with this stoichiometry: 0.151 eV/atom
- VASP energy: -4.8257 eV/atom
- Total magnetic moment: 0.024 μB/atom
- E_form: 658 meV per atom

Cell: 2.7294 2.7294 8.6109 Å, 90.00 90.00 90.00°
Space group P4mm (No. 99)
Unique sites:
K1 0.0000 0.0000 0.0000
Ni1 0.0000 0.0000 0.4827
Ni2 0.5000 0.5000 0.3094
Ru1 0.5000 0.5000 0.6727

---

Record 8
Entry from Alexandria: an optimized crystal structure of SrLiH3 (PBE-GGA).

- Energy above the lowest structure with this stoichiometry: 0.370 eV/atom
- VASP energy: -2.8878 eV/atom
- Total magnetic moment: 0.000 μB/atom

Cell: 11.0673 11.0673 11.0673 Å, 90.00 90.00 90.00°
Space group Fd-3m (No. 227, origin choice 2)
Unique sites:
Sr1 0.0000 0.0000 0.0000
Li1 0.0000 0.0000 0.5000
H1 0.1223 0.3750 0.8750

---

Record 9
Entry from Alexandria: an optimized crystal structure of CrHPt2Rh (PBE-GGA).

- Energy above the lowest structure with this stoichiometry: 0.031 eV/atom
- VASP energy: -6.5337 eV/atom
- Total magnetic moment: 0.559 μB/atom

Cell: 3.9235 3.9235 4.0000 Å, 90.00 90.00 90.00°
Space group P4/mmm (No. 123)
Unique sites:
Cr1 0.0000 0.0000 0.0000
H1 0.0000 0.0000 0.5000
Pt1 0.0000 0.5000 0.5000
Rh1 0.5000 0.5000 0.0000

---

Record 10
Entry from Alexandria: an optimized crystal structure of TiCd2HgH (PBE-GGA).

- VASP energy: -2.1242 eV/atom
- Total magnetic moment: 0.407 μB/atom

Cell: 5.6028 5.6028 3.4397 Å, 90.00 90.00 90.00°
Space group P4/mmm (No. 123)
Unique sites:
Ti1 0.0000 0.0000 0.0000
Cd1 0.0000 0.5000 0.5000
Hg1 0.5000 0.5000 0.5000
H1 0.5000 0.5000 0.0000

---

Record 11
Entry from Alexandria: an optimized crystal structure of Ba2Na2I (PBE-GGA).

- Energy above the lowest structure with this stoichiometry: 0.000 eV/atom
- VASP energy: -2.0019 eV/atom
- Total magnetic moment: 0.000 μB/atom

Cell: 9.5346 9.5346 5.8475 Å, 90.00 90.00 90.00°
Space group P4/mbm (No. 127)
Unique sites:
Ba1 0.1693 0.3307 0.0000
Na1 0.1290 0.6290 0.5000
I1 0.0000 0.0000 0.0000

---

Record 12
Entry from Alexandria: an optimized crystal structure of LiPr3Sm4Se8 (PBE-GGA).

- VASP energy: -5.7299 eV/atom
- Total magnetic moment: 0.000 μB/atom

Cell: 8.3895 8.3895 20.5545 Å, 90.00 90.00 120.00°
Space group R-3m (No. 166, hexagonal axes)
Unique sites:
Li1 0.0000 0.0000 0.0000
Pr1 0.0000 0.5000 0.0000
Sm1 0.0000 0.0000 0.5000
Sm2 0.0000 0.5000 0.5000
Se1 0.0000 0.0000 0.2474
Se2 0.0107 0.5054 0.7499